(1)
# Be2Nb2CrRu5 (GGA-PBE, optimized geometry)
data_Be2Nb2CrRu5
_space_group_name_H-M_alt 'P 4/m b m'
_space_group_IT_number 127
_space_group_name_Hall '-P 4 2ab'
_cell_length_a 9.307
_cell_length_b 9.307
_cell_length_c 3.065
_cell_angle_alpha 90.00
_cell_angle_beta 90.00
_cell_angle_gamma 90.00
loop_
_atom_site_label
_atom_site_type_symbol
_atom_site_fract_x
_atom_site_fract_y
_atom_site_fract_z
Be1 Be 0.123 0.377 0.000
Nb1 Nb 0.174 0.674 0.000
Cr1 Cr 0.000 0.000 0.000
Ru1 Ru 0.000 0.500 0.500
Ru2 Ru 0.070 0.205 0.500
# Calculated density in g/cm3: 9.52
# DFT formation energy in eV/atom: -0.2805

=====

(2)
# Na2CdHgAu (GGA-PBE, optimized geometry)
data_Na2CdHgAu
_space_group_name_H-M_alt 'P 4/m m m'
_space_group_IT_number 123
_space_group_name_Hall '-P 4 2'
_cell_length_a 5.544
_cell_length_b 5.544
_cell_length_c 5.348
_cell_angle_alpha 90.00
_cell_angle_beta 90.00
_cell_angle_gamma 90.00
loop_
_atom_site_label
_atom_site_type_symbol
_atom_site_fract_x
_atom_site_fract_y
_atom_site_fract_z
Na1 Na 0.000 0.500 0.000
Cd1 Cd 0.000 0.000 0.500
Hg1 Hg 0.500 0.500 0.500
Au1 Au 0.000 0.000 0.000
# Energy relative to the lowest polymorph listed for this composition in eV/atom: 0.000
# Calculated density in g/cm3: 5.62
# DFT formation energy in eV/atom: -0.0774

=====

(3)
# Ti2CuAu2 (GGA-PBE, optimized geometry)
data_Ti2CuAu2
_space_group_name_H-M_alt 'C 1 2/m 1'
_space_group_IT_number 12
_cell_length_a 9.167
_cell_length_b 3.148
_cell_length_c 11.384
_cell_angle_alpha 90.00
_cell_angle_beta 98.61
_cell_angle_gamma 90.00
loop_
_space_group_symop_operation_xyz
'x,y,z'
'-x,-y,-z'
'-x,y,-z'
'x,-y,z'
'x+1/2,y+1/2,z'
'-x+1/2,-y+1/2,-z'
'-x+1/2,y+1/2,-z'
'x+1/2,-y+1/2,z'
loop_
_atom_site_label
_atom_site_type_symbol
_atom_site_fract_x
_atom_site_fract_y
_atom_site_fract_z
Ti1 Ti 0.055 0.000 0.351
Ti2 Ti 0.153 0.000 0.061
Cu1 Cu 0.249 0.500 0.251
Au1 Au 0.052 0.500 0.846
Au2 Au 0.150 0.500 0.559
# Energy relative to the lowest polymorph listed for this composition in eV/atom: 0.000
# Calculated density in g/cm3: 11.31
# DFT formation energy in eV/atom: -0.2912

=====

(4)
# Li5Co2N4 (GGA-PBE, optimized geometry)
data_Li5Co2N4
_space_group_name_H-M_alt 'C 1 2/m 1'
_space_group_IT_number 12
_cell_length_a 4.903
_cell_length_b 9.345
_cell_length_c 5.680
_cell_angle_alpha 90.00
_cell_angle_beta 96.57
_cell_angle_gamma 90.00
loop_
_space_group_symop_operation_xyz
'x,y,z'
'-x,-y,-z'
'-x,y,-z'
'x,-y,z'
'x+1/2,y+1/2,z'
'-x+1/2,-y+1/2,-z'
'-x+1/2,y+1/2,-z'
'x+1/2,-y+1/2,z'
loop_
_atom_site_label
_atom_site_type_symbol
_atom_site_fract_x
_atom_site_fract_y
_atom_site_fract_z
Li1 Li 0.000 0.000 0.000
Li2 Li 0.162 0.320 0.677
Co1 Co 0.180 0.000 0.650
N1 N 0.000 0.154 0.500
N2 N 0.074 0.500 0.096
# Calculated density in g/cm3: 2.68
# Total DFT energy (no corrections) in Ha/atom: -0.1974

=====

(5)
# CdAuI (GGA-PBE, optimized geometry)
data_CdAuI
_space_group_name_H-M_alt 'C 1 2/m 1'
_space_group_IT_number 12
_cell_length_a 8.891
_cell_length_b 4.253
_cell_length_c 10.712
_cell_angle_alpha 90.00
_cell_angle_beta 105.02
_cell_angle_gamma 90.00
loop_
_space_group_symop_operation_xyz
'x,y,z'
'-x,-y,-z'
'-x,y,-z'
'x,-y,z'
'x+1/2,y+1/2,z'
'-x+1/2,-y+1/2,-z'
'-x+1/2,y+1/2,-z'
'x+1/2,-y+1/2,z'
loop_
_atom_site_label
_atom_site_type_symbol
_atom_site_fract_x
_atom_site_fract_y
_atom_site_fract_z
Cd1 Cd 0.002 0.000 0.148
Au1 Au 0.162 0.500 0.023
I1 I 0.123 0.500 0.335
# Energy relative to the lowest polymorph listed for this composition in eV/atom: 0.007
# Calculated density in g/cm3: 7.41

=====

(6)
# PuPaMo4 (GGA-PBE, optimized geometry)
data_PuPaMo4
_space_group_name_H-M_alt 'F -4 3 m'
_space_group_IT_number 216
_space_group_name_Hall 'F -4 2 3'
_cell_length_a 7.739
_cell_length_b 7.739
_cell_length_c 7.739
_cell_angle_alpha 90.00
_cell_angle_beta 90.00
_cell_angle_gamma 90.00
loop_
_atom_site_label
_atom_site_type_symbol
_atom_site_fract_x
_atom_site_fract_y
_atom_site_fract_z
Pu1 Pu 0.000 0.000 0.000
Pa1 Pa 0.250 0.250 0.250
Mo1 Mo 0.125 0.125 0.625
# Calculated density in g/cm3: 12.31
# DFT formation energy in eV/atom: 0.1686

=====

> The lowest calculated density belongs to which entry?

Li5Co2N4

=====

> Which value of calculated density does entry 4 give?

2.68 g/cm3

=====

> What is the formula in the first record?

Be2Nb2CrRu5